w | VASP calculation (SCAN) on KMnP2 at its PBEsol-relaxed geometry.

CIF file:
```
data_KMnP2
_chemical_formula_sum 'K1 Mn1 P2'
_cell_length_a 4.315
_cell_length_b 4.315
_cell_length_c 3.975
_cell_angle_alpha 90.00
_cell_angle_beta 90.00
_cell_angle_gamma 90.00
_space_group_name_H-M_alt 'P 4/m m m'
_space_group_IT_number 123
_space_group_name_Hall '-P 4 2'
loop_
_atom_site_label
_atom_site_type_symbol
_atom_site_fract_x
_atom_site_fract_y
_atom_site_fract_z
K1 K 0.000 0.000 0.000
Mn1 Mn 0.500 0.500 0.000
P1 P 0.000 0.500 0.500
```

Output
magnetization = 4.7 μB per cell


x | VASP calculation (SCAN) on KMnP2 at its PBEsol-relaxed geometry.

CIF file:
```
data_KMnP2
_chemical_formula_sum 'K1 Mn1 P2'
_cell_length_a 5.294
_cell_length_b 5.294
_cell_length_c 2.596
_cell_angle_alpha 90.00
_cell_angle_beta 90.00
_cell_angle_gamma 90.00
_space_group_name_H-M_alt 'P 4/m m m'
_space_group_IT_number 123
_space_group_name_Hall '-P 4 2'
loop_
_atom_site_label
_atom_site_type_symbol
_atom_site_fract_x
_atom_site_fract_y
_atom_site_fract_z
K1 K 0.000 0.000 0.000
Mn1 Mn 0.500 0.500 0.000
P1 P 0.000 0.500 0.500
```

Output
magnetization = 4.2 μB per cell


y | VASP calculation (SCAN) on KMnP2 at its PBEsol-relaxed geometry.

CIF file:
```
data_KMnP2
_chemical_formula_sum 'K3 Mn3 P6'
_cell_length_a 3.7077
_cell_length_b 3.7077
_cell_length_c 19.9397
_cell_angle_alpha 90.00
_cell_angle_beta 90.00
_cell_angle_gamma 120.00
_space_group_name_H-M_alt 'R -3 m'
_space_group_IT_number 166
_space_group_name_Hall '-R 3 2"'
loop_
_atom_site_label
_atom_site_type_symbol
_atom_site_fract_x
_atom_site_fract_y
_atom_site_fract_z
K1 K 0.0000 0.0000 0.0000
Mn1 Mn 0.0000 0.0000 0.5000
P1 P 0.0000 0.0000 0.2152
```

Output
magnetization = 8.6 μB per cell


Going by the computed energies, the most stable comes first: y, x, w.


w | VASP calculation (SCAN) on KMnPb2 at its PBEsol-relaxed geometry.

CIF file:
```
data_KMnPb2
_chemical_formula_sum 'K4 Mn4 Pb8'
_cell_length_a 7.461
_cell_length_b 7.461
_cell_length_c 7.461
_cell_angle_alpha 90.00
_cell_angle_beta 90.00
_cell_angle_gamma 90.00
_space_group_name_H-M_alt 'F m -3 m'
_space_group_IT_number 225
_space_group_name_Hall '-F 4 2 3'
loop_
_atom_site_label
_atom_site_type_symbol
_atom_site_fract_x
_atom_site_fract_y
_atom_site_fract_z
K1 K 0.000 0.000 0.000
Mn1 Mn 0.000 0.000 0.500
Pb1 Pb 0.250 0.250 0.250
```

Output
magnetization = 18.3 μB per cell


x | VASP calculation (SCAN) on KMnPb2 at its PBEsol-relaxed geometry.

CIF file:
```
data_KMnPb2
_chemical_formula_sum 'K2 Mn2 Pb4'
_cell_length_a 3.340
_cell_length_b 6.192
_cell_length_c 10.863
_cell_angle_alpha 90.00
_cell_angle_beta 90.00
_cell_angle_gamma 90.00
_space_group_name_H-M_alt 'I m m m'
_space_group_IT_number 71
_space_group_name_Hall '-I 2 2'
loop_
_atom_site_label
_atom_site_type_symbol
_atom_site_fract_x
_atom_site_fract_y
_atom_site_fract_z
K1 K 0.000 0.000 0.000
Mn1 Mn 0.000 0.000 0.500
Pb1 Pb 0.000 0.500 0.213
```

Output
magnetization = 8.3 μB per cell


y | VASP calculation (SCAN) on KMnPb2 at its PBEsol-relaxed geometry.

CIF file:
```
data_KMnPb2
_chemical_formula_sum 'K1 Mn1 Pb2'
_cell_length_a 3.363
_cell_length_b 3.363
_cell_length_c 9.094
_cell_angle_alpha 90.00
_cell_angle_beta 90.00
_cell_angle_gamma 90.00
_space_group_name_H-M_alt 'P 4/m m m'
_space_group_IT_number 123
_space_group_name_Hall '-P 4 2'
loop_
_atom_site_label
_atom_site_type_symbol
_atom_site_fract_x
_atom_site_fract_y
_atom_site_fract_z
K1 K 0.000 0.000 0.000
Mn1 Mn 0.000 0.000 0.500
Pb1 Pb 0.500 0.500 0.304
```

Output
magnetization = 3.7 μB per cell


Going by the computed energies, the most stable comes first: y, w, x.


w | VASP calculation (SCAN) on KMnPt at its PBEsol-relaxed geometry.

CIF file:
```
data_KMnPt
_chemical_formula_sum 'K4 Mn4 Pt4'
_cell_length_a 6.628
_cell_length_b 6.628
_cell_length_c 6.628
_cell_angle_alpha 90.00
_cell_angle_beta 90.00
_cell_angle_gamma 90.00
_space_group_name_H-M_alt 'F -4 3 m'
_space_group_IT_number 216
_space_group_name_Hall 'F -4 2 3'
loop_
_atom_site_label
_atom_site_type_symbol
_atom_site_fract_x
_atom_site_fract_y
_atom_site_fract_z
K1 K 0.000 0.000 0.000
Mn1 Mn 0.250 0.250 0.250
Pt1 Pt 0.250 0.250 0.750
```

Output
magnetization = 20.6 μB per cell


x | VASP calculation (SCAN) on KMnPt at its PBEsol-relaxed geometry.

CIF file:
```
data_KMnPt
_chemical_formula_sum 'K2 Mn2 Pt2'
_cell_length_a 3.450
_cell_length_b 3.450
_cell_length_c 11.896
_cell_angle_alpha 90.00
_cell_angle_beta 90.00
_cell_angle_gamma 90.00
_space_group_name_H-M_alt 'I 4 m m'
_space_group_IT_number 107
_space_group_name_Hall 'I 4 -2'
loop_
_atom_site_label
_atom_site_type_symbol
_atom_site_fract_x
_atom_site_fract_y
_atom_site_fract_z
K1 K 0.000 0.000 0.000
Mn1 Mn 0.000 0.000 0.267
Pt1 Pt 0.000 0.000 0.719
```

Output
magnetization = 9.0 μB per cell


Going by the computed energies, the most stable comes first: x, w.


w | VASP calculation (SCAN) on KMn2Rh at its PBEsol-relaxed geometry.

CIF file:
```
data_KMn2Rh
_chemical_formula_sum 'K3 Mn6 Rh3'
_cell_length_a 2.8976
_cell_length_b 2.8976
_cell_length_c 29.8421
_cell_angle_alpha 90.00
_cell_angle_beta 90.00
_cell_angle_gamma 120.00
_space_group_name_H-M_alt 'R -3 m'
_space_group_IT_number 166
_space_group_name_Hall '-R 3 2"'
loop_
_atom_site_label
_atom_site_type_symbol
_atom_site_fract_x
_atom_site_fract_y
_atom_site_fract_z
K1 K 0.0000 0.0000 0.0000
Mn1 Mn 0.0000 0.0000 0.2331
Rh1 Rh 0.0000 0.0000 0.5000
```

Output
magnetization = 27.0 μB per cell


x | VASP calculation (SCAN) on KMn2Rh at its PBEsol-relaxed geometry.

CIF file:
```
data_KMn2Rh
_chemical_formula_sum 'K2 Mn4 Rh2'
_cell_length_a 4.634
_cell_length_b 4.634
_cell_length_c 6.507
_cell_angle_alpha 90.00
_cell_angle_beta 90.00
_cell_angle_gamma 90.00
_space_group_name_H-M_alt 'I 4/m m m'
_space_group_IT_number 139
_space_group_name_Hall '-I 4 2'
loop_
_atom_site_label
_atom_site_type_symbol
_atom_site_fract_x
_atom_site_fract_y
_atom_site_fract_z
K1 K 0.000 0.000 0.000
Mn1 Mn 0.000 0.500 0.250
Rh1 Rh 0.000 0.000 0.500
```

Output
magnetization = 18.4 μB per cell


y | VASP calculation (SCAN) on KMn2Rh at its PBEsol-relaxed geometry.

CIF file:
```
data_KMn2Rh
_chemical_formula_sum 'K1 Mn2 Rh1'
_cell_length_a 3.078
_cell_length_b 3.078
_cell_length_c 8.595
_cell_angle_alpha 90.00
_cell_angle_beta 90.00
_cell_angle_gamma 90.00
_space_group_name_H-M_alt 'P 4/m m m'
_space_group_IT_number 123
_space_group_name_Hall '-P 4 2'
loop_
_atom_site_label
_atom_site_type_symbol
_atom_site_fract_x
_atom_site_fract_y
_atom_site_fract_z
K1 K 0.000 0.000 0.000
Mn1 Mn 0.500 0.500 0.334
Rh1 Rh 0.000 0.000 0.500
```

Output
magnetization = 9.3 μB per cell


Going by the computed energies, the most stable comes first: y, w, x.


w | VASP calculation (SCAN) on K2MnRh at its PBEsol-relaxed geometry.

CIF file:
```
data_K2MnRh
_chemical_formula_sum 'K4 Mn2 Rh2'
_cell_length_a 5.530
_cell_length_b 10.700
_cell_length_c 3.018
_cell_angle_alpha 90.00
_cell_angle_beta 90.00
_cell_angle_gamma 90.00
_space_group_name_H-M_alt 'C m m m'
_space_group_IT_number 65
_space_group_name_Hall '-C 2 2'
loop_
_atom_site_label
_atom_site_type_symbol
_atom_site_fract_x
_atom_site_fract_y
_atom_site_fract_z
K1 K 0.250 0.250 0.000
Mn1 Mn 0.000 0.000 0.500
Rh1 Rh 0.000 0.500 0.500
```

Output
magnetization = 9.7 μB per cell


x | VASP calculation (SCAN) on K2MnRh at its PBEsol-relaxed geometry.

CIF file:
```
data_K2MnRh
_chemical_formula_sum 'K2 Mn1 Rh1'
_cell_length_a 2.898
_cell_length_b 2.898
_cell_length_c 11.095
_cell_angle_alpha 90.00
_cell_angle_beta 90.00
_cell_angle_gamma 90.00
_space_group_name_H-M_alt 'P 4/m m m'
_space_group_IT_number 123
_space_group_name_Hall '-P 4 2'
loop_
_atom_site_label
_atom_site_type_symbol
_atom_site_fract_x
_atom_site_fract_y
_atom_site_fract_z
K1 K 0.000 0.000 0.220
Mn1 Mn 0.500 0.500 0.500
Rh1 Rh 0.500 0.500 0.000
```

Output
magnetization = 4.9 μB per cell


y | VASP calculation (SCAN) on K2MnRh at its PBEsol-relaxed geometry.

CIF file:
```
data_K2MnRh
_chemical_formula_sum 'K8 Mn4 Rh4'
_cell_length_a 7.135
_cell_length_b 7.135
_cell_length_c 7.135
_cell_angle_alpha 90.00
_cell_angle_beta 90.00
_cell_angle_gamma 90.00
_space_group_name_H-M_alt 'F -4 3 m'
_space_group_IT_number 216
_space_group_name_Hall 'F -4 2 3'
loop_
_atom_site_label
_atom_site_type_symbol
_atom_site_fract_x
_atom_site_fract_y
_atom_site_fract_z
K1 K 0.000 0.000 0.000
K2 K 0.250 0.250 0.250
Mn1 Mn 0.250 0.250 0.750
Rh1 Rh 0.000 0.000 0.500
```

Output
magnetization = 20.9 μB per cell


Going by the computed energies, the most stable comes first: y, w, x.